(1)
First-principles (PBE-GGA) data for a relaxed structure of NaPmPdPb, as listed in Alexandria.

Lattice parameters (Å, degrees): 5.1910 5.1910 5.1910 60.00 60.00 60.00
Fractional coordinates of all 4 atoms:
Pd (0.2500, 0.2500, 0.2500)
Na (0.0000, 0.0000, 0.0000)
Pb (0.7500, 0.7500, 0.7500)
Pm (0.5000, 0.5000, 0.5000)

Output
total moment	0.0	Bohr magnetons per cell
space-group type	F-43m, No. 216
energy of formation from the pure elements	-0.349	eV per atom

(2)
First-principles (PBE-GGA) data for a relaxed structure of La6OsRh2Br2, as listed in Alexandria.

Lattice parameters (Å, degrees): 7.2832 7.2832 8.1717 98.51 98.51 120.16
Fractional coordinates of all 11 atoms:
Br (0.8345, 0.1655, 0.0000)
La (0.2604, 0.2604, 0.3029)
La (0.9349, 0.6056, 0.3024)
Br (0.1655, 0.8345, 0.0000)
La (0.6056, 0.9349, 0.3024)
La (0.3944, 0.0651, 0.6976)
La (0.7396, 0.7396, 0.6971)
Os (0.0000, 0.0000, 0.5000)
Rh (0.3310, 0.6690, 0.5000)
Rh (0.6690, 0.3310, 0.5000)
La (0.0651, 0.3944, 0.6976)

Output
ΔE_f (raw)	-0.87	eV/atom
total moment	0.6	Bohr magnetons per cell
space-group type	C2/m, No. 12

(3)
First-principles (PBE-GGA) data for a relaxed structure of Hf8CoAu2, as listed in Alexandria.

Lattice parameters (Å, degrees): 4.7220 5.9628 8.2700 86.58 106.59 90.00
Fractional coordinates of all 11 atoms:
Hf (0.7932, 0.5992, 0.5864)
Co (0.5000, 0.0000, 0.0000)
Hf (0.9704, 0.7503, 0.9409)
Hf (0.3385, 0.9092, 0.6771)
Hf (0.4116, 0.4300, 0.8231)
Au (0.8391, 0.1455, 0.6781)
Au (0.1609, 0.8545, 0.3219)
Hf (0.0296, 0.2497, 0.0591)
Hf (0.2068, 0.4008, 0.4136)
Hf (0.5884, 0.5700, 0.1769)
Hf (0.6615, 0.0908, 0.3229)

Output
total moment	0.1	Bohr magnetons per cell
space-group type	C2/m, No. 12
energy of formation from the pure elements	-0.245	eV per atom

(4)
First-principles (PBE-GGA) data for a relaxed structure of LaGa2Pt, as listed in Alexandria.

Lattice parameters (Å, degrees): 4.8337 4.8337 4.8337 60.00 60.00 60.00
Fractional coordinates of all 4 atoms:
La (0.0000, 0.0000, 0.0000)
Pt (0.5000, 0.5000, 0.5000)
Ga (0.7500, 0.7500, 0.7500)
Ga (0.2500, 0.2500, 0.2500)

Output
total moment	0.0	Bohr magnetons per cell
space-group type	Fm-3m, No. 225
energy of formation from the pure elements	-0.621	eV per atom

(5)
First-principles (PBE-GGA) data for a relaxed structure of RhCl3, as listed in Alexandria.

Lattice parameters (Å, degrees): 4.8699 4.8699 3.2345 90.00 90.00 90.01
Fractional coordinates of all 4 atoms:
Cl (0.0000, 0.5000, 0.5000)
Rh (0.0000, 0.0000, 0.0000)
Cl (0.5000, 0.0000, 0.5000)
Cl (0.5000, 0.5000, 0.0000)

Output
ΔE_f (raw)	0.76	eV/atom
total moment	2.9	Bohr magnetons per cell
space-group type	P4/mmm, No. 123

(6)
First-principles (PBE-GGA) data for a relaxed structure of Y2InAgHg, as listed in Alexandria.

Lattice parameters (Å, degrees): 5.7589 5.1813 5.7589 90.00 90.00 90.00
Fractional coordinates of all 5 atoms:
In (0.0000, 0.0000, 0.0000)
Hg (0.0000, 0.5000, 0.0000)
Ag (0.5000, 0.5000, 0.5000)
Y (0.5000, 0.0000, 0.0000)
Y (0.0000, 0.0000, 0.5000)

Output
total moment	0.0	Bohr magnetons per cell
space-group type	P4/mmm, No. 123
energy of formation from the pure elements	0.464	eV per atom

(7)
First-principles (PBE-GGA) data for a relaxed structure of GeBiSe2, as listed in Alexandria.

Lattice parameters (Å, degrees): 9.1116 9.1116 9.1116 23.79 23.79 23.79
Fractional coordinates of all 4 atoms:
Se (0.1086, 0.1086, 0.1086)
Se (0.8914, 0.8914, 0.8914)
Ge (0.5000, 0.5000, 0.5000)
Bi (0.0000, 0.0000, 0.0000)

Output
ΔE_f (raw)	-0.09	eV/atom
energy relative to the lowest polymorph listed for this composition	78	meV/atom
total moment	0.0	Bohr magnetons per cell
space-group type	R-3m, No. 166

(8)
First-principles (PBE-GGA) data for a relaxed structure of Rb2GeBr2Cl4, as listed in Alexandria.

Lattice parameters (Å, degrees): 7.3566 7.3566 7.3566 90.97 119.44 119.44
Fractional coordinates of all 9 atoms:
Rb (0.5000, 0.2500, 0.7500)
Ge (0.0000, 0.0000, 0.0000)
Cl (0.4464, 0.2232, 0.2232)
Cl (0.5536, 0.7768, 0.7768)
Cl (0.0000, 0.2232, 0.7768)
Br (0.0000, 0.2432, 0.2432)
Cl (0.0000, 0.7768, 0.2232)
Rb (0.5000, 0.7500, 0.2500)
Br (0.0000, 0.7568, 0.7568)

Output
ΔE_f (raw)	-1.27	eV/atom
total moment	0.0	Bohr magnetons per cell
space-group type	I4/mmm, No. 139

(9)
First-principles (PBE-GGA) data for a relaxed structure of CaUCo4, as listed in Alexandria.

Lattice parameters (Å, degrees): 5.0023 5.0023 5.0023 60.00 60.00 60.00
Fractional coordinates of all 6 atoms:
Co (0.1255, 0.6248, 0.6248)
Co (0.6248, 0.1255, 0.6248)
Co (0.6248, 0.6248, 0.1255)
Ca (0.0000, 0.0000, 0.0000)
Co (0.6248, 0.6248, 0.6248)
U (0.2500, 0.2500, 0.2500)

Output
total moment	1.4	Bohr magnetons per cell
space-group type	F-43m, No. 216
energy of formation from the pure elements	0.030	eV per atom

(10)
First-principles (PBE-GGA) data for a relaxed structure of KPaMnSe4, as listed in Alexandria.

Lattice parameters (Å, degrees): 6.7752 6.8011 9.2676 90.00 109.30 90.00
Fractional coordinates of all 14 atoms:
Pa (0.2297, 0.2500, 0.5526)
Pa (0.7703, 0.7500, 0.4474)
Mn (0.2302, 0.7500, 0.3333)
Mn (0.7698, 0.2500, 0.6667)
Se (0.9713, 0.0131, 0.2964)
Se (0.4653, 0.7500, 0.5931)
K (0.2541, 0.2500, 0.0511)
Se (0.0287, 0.9869, 0.7036)
Se (0.5585, 0.2500, 0.8317)
Se (0.5347, 0.2500, 0.4069)
K (0.7459, 0.7500, 0.9489)
Se (0.0287, 0.5131, 0.7036)
Se (0.4415, 0.7500, 0.1683)
Se (0.9713, 0.4869, 0.2964)

Output
ΔE_f (raw)	-1.08	eV/atom
total moment	10.1	Bohr magnetons per cell
space-group type	P2_1/m, No. 11

(11)
First-principles (PBE-GGA) data for a relaxed structure of TiH2PbF8, as listed in Alexandria.

Lattice parameters (Å, degrees): 4.9409 5.0228 7.1788 97.00 86.97 71.27
Fractional coordinates of all 12 atoms:
Ti (0.0000, 0.0000, 0.0000)
F (0.7858, 0.2057, 0.8199)
H (0.2942, 0.4622, 0.6779)
F (0.3318, 0.2986, 0.5706)
Pb (0.0000, 0.0000, 0.5000)
F (0.6682, 0.7014, 0.4294)
F (0.7765, 0.2654, 0.2271)
F (0.7632, 0.7882, 0.0100)
F (0.2142, 0.7943, 0.1801)
H (0.7058, 0.5378, 0.3221)
F (0.2368, 0.2118, 0.9900)
F (0.2235, 0.7346, 0.7729)

Output
total moment	0.1	Bohr magnetons per cell
space-group type	P-1, No. 2
electronic total energy	-63.09	eV/cell

(12)
First-principles (PBE-GGA) data for a relaxed structure of AcYGa2, as listed in Alexandria.

Lattice parameters (Å, degrees): 4.4900 4.2235 6.3008 90.00 110.90 90.00
Fractional coordinates of all 4 atoms:
Y (0.4538, 0.5000, 0.4465)
Ga (0.1416, 0.5000, 0.8226)
Ac (0.7295, 0.0000, 0.9978)
Ga (0.0062, 0.0000, 0.5511)

Output
total moment	0.0	Bohr magnetons per cell
space-group type	Amm2, No. 38
energy of formation from the pure elements	-0.549	eV per atom

(13)
First-principles (PBE-GGA) data for a relaxed structure of CrCoNi2, as listed in Alexandria.

Lattice parameters (Å, degrees): 4.0010 2.4781 9.1103 105.85 90.00 90.00
Fractional coordinates of all 8 atoms:
Ni (0.7500, 0.7913, 0.0408)
Ni (0.2500, 0.2087, 0.9592)
Ni (0.7500, 0.2959, 0.5455)
Co (0.7500, 0.0436, 0.7936)
Cr (0.7500, 0.5442, 0.2935)
Ni (0.2500, 0.7041, 0.4545)
Co (0.2500, 0.9564, 0.2064)
Cr (0.2500, 0.4558, 0.7065)

Output
total moment	2.0	Bohr magnetons per cell
space-group type	P2_1/m, No. 11
energy of formation from the pure elements	0.044	eV per atom

(14)
First-principles (PBE-GGA) data for a relaxed structure of Er6Tm2Se3, as listed in Alexandria.

Lattice parameters (Å, degrees): 3.7521 3.7521 25.0119 85.70 85.70 60.00
Fractional coordinates of all 11 atoms:
Er (0.6421, 0.6421, 0.0736)
Tm (0.4442, 0.4442, 0.6673)
Se (0.2848, 0.2848, 0.1457)
Er (0.8149, 0.8149, 0.5553)
Se (0.0000, 0.0000, 0.0000)
Tm (0.5558, 0.5558, 0.3327)
Er (0.1851, 0.1851, 0.4447)
Er (0.3579, 0.3579, 0.9264)
Se (0.7152, 0.7152, 0.8543)
Er (0.9260, 0.9260, 0.2221)
Er (0.0740, 0.0740, 0.7779)

Output
ΔE_f (raw)	-0.86	eV/atom
total moment	0.0	Bohr magnetons per cell
space-group type	R-3m, No. 166

(15)
First-principles (PBE-GGA) data for a relaxed structure of Be2ReTe, as listed in Alexandria.

Lattice parameters (Å, degrees): 8.1020 8.1020 8.1020 21.45 21.45 21.45
Fractional coordinates of all 4 atoms:
Te (0.7500, 0.7500, 0.7500)
Be (0.5158, 0.5158, 0.5158)
Re (0.2500, 0.2500, 0.2500)
Be (0.9842, 0.9842, 0.9842)

Output
ΔE_f (raw)	0.63	eV/atom
total moment	0.0	Bohr magnetons per cell
space-group type	R-3m, No. 166

(16)
First-principles (PBE-GGA) data for a relaxed structure of Na2SrZrB, as listed in Alexandria.

Lattice parameters (Å, degrees): 5.8424 6.3224 5.8424 90.00 90.00 90.00
Fractional coordinates of all 5 atoms:
Na (0.0000, 0.0000, 0.5000)
B (0.5000, 0.5000, 0.5000)
Sr (0.0000, 0.5000, 0.0000)
Zr (0.0000, 0.0000, 0.0000)
Na (0.5000, 0.0000, 0.0000)

Output
total moment	3.2	Bohr magnetons per cell
space-group type	P4/mmm, No. 123
energy of formation from the pure elements	1.983	eV per atom

(17)
First-principles (PBE-GGA) data for a relaxed structure of Pm3BI3, as listed in Alexandria.

Lattice parameters (Å, degrees): 10.4568 10.4568 10.4568 109.47 109.47 109.47
Fractional coordinates of all 28 atoms:
I (0.7500, 0.7599, 0.7401)
I (0.2401, 0.9901, 0.9802)
Pm (0.7259, 0.2741, 0.7500)
I (0.0099, 0.7599, 0.5198)
Pm (0.7259, 0.4519, 0.4759)
I (0.2401, 0.2500, 0.7599)
Pm (0.5241, 0.4759, 0.7500)
Pm (0.7741, 0.7500, 0.2259)
I (0.4802, 0.7401, 0.9901)
I (0.2599, 0.7401, 0.2500)
Pm (0.9759, 0.7500, 0.0241)
Pm (0.2500, 0.0241, 0.4759)
I (0.0099, 0.2500, 0.9901)
Pm (0.5241, 0.0481, 0.2741)
I (0.4901, 0.9802, 0.7401)
Pm (0.2500, 0.2259, 0.2741)
Pm (0.7741, 0.0241, 0.0481)
I (0.0198, 0.5099, 0.7599)
B (0.5000, 0.2500, 0.5000)
I (0.2599, 0.5198, 0.5099)
I (0.4901, 0.5099, 0.2500)
B (0.0000, 0.0000, 0.2500)
I (0.7500, 0.9901, 0.5099)
Pm (0.9759, 0.2259, 0.4519)
B (0.7500, 0.2500, 0.2500)
Pm (0.9519, 0.4759, 0.2259)
Pm (0.5481, 0.2741, 0.0241)
B (0.7500, 0.5000, 0.0000)

Output
ΔE_f (raw)	-0.97	eV/atom
total moment	0.0	Bohr magnetons per cell
space-group type	I4_132, No. 214

(18)
First-principles (PBE-GGA) data for a relaxed structure of EuErCdPb, as listed in Alexandria.

Lattice parameters (Å, degrees): 5.4478 5.4478 5.4478 60.00 60.00 60.00
Fractional coordinates of all 4 atoms:
Eu (0.0000, 0.0000, 0.0000)
Pb (0.2500, 0.2500, 0.2500)
Er (0.5000, 0.5000, 0.5000)
Cd (0.7500, 0.7500, 0.7500)

Output
total moment	7.6	Bohr magnetons per cell
space-group type	F-43m, No. 216
energy of formation from the pure elements	-0.395	eV per atom

(19)
First-principles (PBE-GGA) data for a relaxed structure of ZrTl4Ir, as listed in Alexandria.

Lattice parameters (Å, degrees): 5.9562 5.9562 5.9562 60.00 60.00 60.00
Fractional coordinates of all 6 atoms:
Tl (0.8758, 0.3747, 0.3747)
Tl (0.3747, 0.3747, 0.8758)
Zr (0.7500, 0.7500, 0.7500)
Tl (0.3747, 0.8758, 0.3747)
Ir (0.0000, 0.0000, 0.0000)
Tl (0.3747, 0.3747, 0.3747)

Output
total moment	0.0	Bohr magnetons per cell
space-group type	F-43m, No. 216
energy of formation from the pure elements	0.887	eV per atom

(20)
First-principles (PBE-GGA) data for a relaxed structure of Pm2Sm6Y3Tl, as listed in Alexandria.

Lattice parameters (Å, degrees): 6.2022 6.2022 11.8687 95.02 95.02 120.10
Fractional coordinates of all 12 atoms:
Sm (0.4102, 0.0830, 0.2495)
Pm (0.3339, 0.6661, 0.0000)
Y (0.8331, 0.1669, 0.5000)
Y (0.1669, 0.8331, 0.5000)
Sm (0.9170, 0.5898, 0.7505)
Sm (0.0830, 0.4102, 0.2495)
Sm (0.7562, 0.7562, 0.2506)
Tl (0.0000, 0.0000, 0.0000)
Pm (0.6661, 0.3339, 0.0000)
Y (0.5000, 0.5000, 0.5000)
Sm (0.2438, 0.2438, 0.7494)
Sm (0.5898, 0.9170, 0.7505)

Output
total moment	0.0	Bohr magnetons per cell
space-group type	C2/m, No. 12
energy of formation from the pure elements	-0.024	eV per atom

(21)
First-principles (PBE-GGA) data for a relaxed structure of CeHo2Ge4, as listed in Alexandria.

Lattice parameters (Å, degrees): 4.0329 4.2692 9.5871 102.86 102.14 90.00
Fractional coordinates of all 7 atoms:
Ge (0.3413, 0.3413, 0.6825)
Ho (0.8180, 0.8180, 0.6361)
Ho (0.1820, 0.1820, 0.3639)
Ce (0.5000, 0.0000, 0.0000)
Ge (0.0674, 0.5674, 0.1347)
Ge (0.6587, 0.6587, 0.3175)
Ge (0.9326, 0.4326, 0.8653)

Output
total moment	0.6	Bohr magnetons per cell
space-group type	Immm, No. 71
energy of formation from the pure elements	-0.737	eV per atom

(22)
First-principles (PBE-GGA) data for a relaxed structure of TmUAgS4, as listed in Alexandria.

Lattice parameters (Å, degrees): 8.0447 7.9199 7.8398 119.67 90.00 120.52
Fractional coordinates of all 14 atoms:
S (0.2593, 0.9811, 0.7405)
U (0.0000, 0.5000, 0.5000)
S (0.2576, 0.5152, 0.7403)
Tm (0.5000, 0.0000, 0.0000)
S (0.2576, 0.5152, 0.2749)
Ag (0.1178, 0.2357, 0.8678)
S (0.7407, 0.0189, 0.2595)
U (0.5000, 0.5000, 0.5000)
S (0.7424, 0.4848, 0.2597)
S (0.7218, 0.9811, 0.7405)
Tm (0.5000, 0.0000, 0.5000)
Ag (0.8822, 0.7643, 0.1322)
S (0.2782, 0.0189, 0.2595)
S (0.7424, 0.4848, 0.7251)

Output
ΔE_f (raw)	-1.35	eV/atom
total moment	4.0	Bohr magnetons per cell
space-group type	Imma, No. 74

(23)
First-principles (PBE-GGA) data for a relaxed structure of RbLiZn2Pt, as listed in Alexandria.

Lattice parameters (Å, degrees): 5.0062 5.0062 4.9880 90.00 90.00 90.00
Fractional coordinates of all 5 atoms:
Li (0.0000, 0.0000, 0.5000)
Pt (0.0000, 0.0000, 0.0000)
Rb (0.5000, 0.5000, 0.5000)
Zn (0.5000, 0.0000, 0.0000)
Zn (0.0000, 0.5000, 0.0000)

Output
total moment	0.0	Bohr magnetons per cell
space-group type	P4/mmm, No. 123
energy of formation from the pure elements	-0.249	eV per atom

(24)
First-principles (PBE-GGA) data for a relaxed structure of Pm5GeSb4, as listed in Alexandria.

Lattice parameters (Å, degrees): 4.4527 4.4527 16.0218 97.99 97.99 90.00
Fractional coordinates of all 10 atoms:
Pm (0.0966, 0.0966, 0.1931)
Sb (0.1984, 0.1984, 0.3967)
Pm (0.5000, 0.5000, 0.0000)
Sb (0.8016, 0.8016, 0.6033)
Sb (0.4001, 0.4001, 0.8002)
Pm (0.7002, 0.7002, 0.4004)
Sb (0.5999, 0.5999, 0.1998)
Pm (0.2998, 0.2998, 0.5996)
Pm (0.9034, 0.9034, 0.8069)
Ge (0.0000, 0.0000, 0.0000)

Output
ΔE_f (raw)	-1.07	eV/atom
total moment	0.0	Bohr magnetons per cell
space-group type	I4/mmm, No. 139